## Pm2MgIr (PBE-GGA)

Data for a relaxed Pm2MgIr crystal.

For the energy relative to the lowest polymorph listed for this composition, the calculation gives 132.8 meV per atom. For the raw total energy, the calculation gives -5.3066 eV per atom. The size of the total moment is 0.00 Bohr magnetons per cell.

It has space group P2_1/c (No. 14), with a = 6.7874 Å, b = 6.2341 Å, c = 13.0430 Å, α = 90.00°, β = 121.31° and γ = 90.00°. The asymmetric unit holds Pm at (0.0007, 0.2381, 0.0855), Pm at (0.3299, 0.2383, 0.9143), Mg at (0.2940, 0.7500, 0.2499) and Ir at (0.3553, 0.0004, 0.1053).